The following is a GGA-PBE calculation of a geometry-optimized CaAc2Al12Pd3 structure, from Alexandria via LeMat-Bulk.

```
CaAc2Al12Pd3
1.0
9.008 0.324 0.229
4.730 7.674 0.229
4.730 2.753 7.166
Al Ca Ac Pd
12 1 2 3
direct
0.340 0.340 0.870
0.499 0.841 0.841
0.660 0.130 0.660
0.660 0.660 0.130
0.159 0.159 0.501
0.130 0.660 0.660
0.841 0.499 0.841
0.841 0.841 0.499
0.870 0.340 0.340
0.340 0.870 0.340
0.501 0.159 0.159
0.159 0.501 0.159
0.000 0.000 0.000
0.396 0.396 0.396
0.604 0.604 0.604
0.000 0.000 0.500
0.500 0.000 0.000
0.000 0.500 0.000
```

E_tot in eV per atom: -3.96
Calculated density in Mg/m³: 3.986
Total magnetic moment in μB/f.u.: 0.00
Calculated formation energy in eV per atom: -0.0364